[1]
First-principles (GGA-PBE) data for a relaxed structure of Sc3VSn, as listed in Alexandria via LeMat-Bulk.

For the total DFT energy (no corrections), the calculation gives -0.208 hartree per atom. Its crystal system is cubic. As for the total magnetization: 1.106 μB/atom.

The structure belongs to space group Pm-3m (No. 221); the cell edges are 5.332, 5.332 and 5.332 Å and the angles 90.00°, 90.00° and 90.00°. The inequivalent atoms are Sc at (0.000, 0.000, 0.500), V at (0.500, 0.500, 0.500) and Sn at (0.000, 0.000, 0.000).

[2]
First-principles (GGA-PBE) data for a relaxed structure of Mg2AgMo, as listed in Alexandria via LeMat-Bulk.

For the total DFT energy (no corrections), the calculation gives -0.145 hartree per atom. Its crystal system is orthorhombic. As for the total magnetization: 0.000 μB/atom.

The structure belongs to space group Pmmm (No. 47); the cell edges are 2.852, 4.003 and 6.213 Å and the angles 90.00°, 90.00° and 90.00°. The inequivalent atoms are Mg at (0.000, 0.000, 0.247), Ag at (0.500, 0.500, 0.500) and Mo at (0.500, 0.500, 0.000).

- The lowest total DFT energy (no corrections) belongs to which entry?
  Sc3VSn